Be3Nb3N PBE-GGA relaxed; spin magnetization = 0.00 μB/cell; E_form (uncorrected) = -0.45 eV per atom; SG = Fd-3m (227); DFT total energy = -52.9 eV/f.u.
1.0
-4.878 -0.037 6.234
-0.771 -6.546 4.383
2.958 -0.220 7.339
N Nb Be
4 12 12
Direct
0.125 0.125 0.625
0.625 0.125 0.125
0.125 0.625 0.125
0.125 0.125 0.125
0.192 0.808 0.808
0.808 0.808 0.192
0.442 0.058 0.442
0.442 0.442 0.058
0.808 0.192 0.192
0.058 0.442 0.058
0.192 0.192 0.808
0.442 0.058 0.058
0.192 0.808 0.192
0.058 0.442 0.442
0.058 0.058 0.442
0.808 0.192 0.808
0.125 0.625 0.625
0.625 0.625 0.125
0.423 0.423 0.423
0.827 0.827 0.827
0.731 0.423 0.423
0.519 0.827 0.827
0.625 0.125 0.625
0.625 0.625 0.625
0.423 0.731 0.423
0.827 0.827 0.519
0.827 0.519 0.827
0.423 0.423 0.731